1.
First-principles (GGA-PBE) data for a geometry-optimized Mn2BeV structure, as listed in the Alexandria database.

The space group is I-42d (No. 122) and the conventional cell measures 6.197, 6.197 and 4.953 Å, with angles of 90.00, 90.00 and 90.00 degrees. The distinct sites, in fractional coordinates, are Mn at (0.234, 0.250, 0.125), Be at (0.000, 0.000, 0.000) and V at (0.000, 0.000, 0.500).

The magnetic moment comes out at 11.6 Bohr magnetons per cell. As for the calculated total energy: -7.363 eV/atom. Its formation energy is 1.73 eV/f.u.



2.
First-principles (GGA-PBE) data for a geometry-optimized MnBe17V structure, as listed in the Alexandria database.

The space group is R3m (No. 160, hexagonal axes) and the conventional cell measures 7.2093, 7.2093 and 10.5902 Å, with angles of 90.00, 90.00 and 120.00 degrees. The distinct sites, in fractional coordinates, are Mn at (0.0000, 0.0000, 0.0000), Be at (0.0000, 0.0000, 0.2356), Be at (0.0000, 0.0000, 0.4374), Be at (0.0037, 0.5019, 0.4904), Be at (0.0314, 0.3627, 0.0038), Be at (0.1694, 0.3388, 0.1726), Be at (0.1713, 0.3426, 0.5149) and V at (0.0000, 0.0000, 0.6741).

The magnetic moment comes out at 7.6 Bohr magnetons per cell. As for the calculated total energy: -4.407 eV/atom. Its formation energy is -2.10 eV/f.u.



3.
First-principles (GGA-PBE) data for a geometry-optimized Mn2BeV structure, as listed in the Alexandria database.

The space group is P4/mmm (No. 123) and the conventional cell measures 2.867, 2.867 and 5.357 Å, with angles of 90.00, 90.00 and 90.00 degrees. The distinct sites, in fractional coordinates, are Mn at (0.000, 0.000, 0.236), Be at (0.500, 0.500, 0.000) and V at (0.500, 0.500, 0.500).

The magnetic moment comes out at 2.6 Bohr magnetons per cell. As for the calculated total energy: -7.955 eV/atom. Its formation energy is -0.64 eV/f.u.



4.
First-principles (GGA-PBE) data for a geometry-optimized MnBe2V structure, as listed in the Alexandria database.

The space group is P4/mmm (No. 123) and the conventional cell measures 2.847, 2.847 and 4.925 Å, with angles of 90.00, 90.00 and 90.00 degrees. The distinct sites, in fractional coordinates, are Mn at (0.000, 0.000, 0.000), Be at (0.500, 0.500, 0.219) and V at (0.000, 0.000, 0.500).

The magnetic moment comes out at 0.2 Bohr magnetons per cell. As for the calculated total energy: -6.444 eV/atom. Its formation energy is -0.04 eV/f.u. The value obtained for the energy above the most stable polymorph in this dataset is 0.074 eV per atom.